A relaxed structure of NaPbI3, computed with PBE.

```
data_NaPbI3
_symmetry_space_group_name_H-M 'P 1'
_symmetry_Int_Tables_number 1
_cell_length_a 8.334
_cell_length_b 4.792
_cell_length_c 12.522
_cell_angle_alpha 90.00
_cell_angle_beta 104.87
_cell_angle_gamma 90.00
loop_
_symmetry_equiv_pos_as_xyz
'x,y,z'
loop_
_atom_site_label
_atom_site_fract_x
_atom_site_fract_y
_atom_site_fract_z
Na1 0.004 0.250 0.160
Na2 0.996 0.750 0.840
Pb1 0.487 0.750 0.328
Pb2 0.513 0.250 0.672
I1 0.202 0.750 0.103
I2 0.270 0.250 0.412
I3 0.307 0.750 0.746
I4 0.693 0.250 0.254
I5 0.730 0.750 0.588
I6 0.798 0.250 0.897
```

Calculated values
* magnetic moment: 0.0 μB/cell
* formation energy (no corrections): -860.2 meV per atom
* DOS(E_F): 0.0000 states/eV per atom
* E above lowest polymorph: 14 meV per atom

***

A relaxed structure of Na2PbI4, computed with PBE.

```
data_Na2PbI4
_symmetry_space_group_name_H-M 'P 1'
_symmetry_Int_Tables_number 1
_cell_length_a 8.049
_cell_length_b 8.049
_cell_length_c 4.635
_cell_angle_alpha 90.00
_cell_angle_beta 90.00
_cell_angle_gamma 109.82
loop_
_symmetry_equiv_pos_as_xyz
'x,y,z'
loop_
_atom_site_label
_atom_site_fract_x
_atom_site_fract_y
_atom_site_fract_z
Na1 0.000 0.500 0.000
Na2 0.500 0.000 0.000
Pb1 0.000 0.000 0.500
I1 0.248 0.752 0.500
I2 0.249 0.249 0.000
I3 0.751 0.751 0.000
I4 0.752 0.248 0.500
```

Calculated values
* magnetic moment: 0.0 μB/cell
* formation energy (no corrections): -998.5 meV per atom
* DOS(E_F): 0.0000 states/eV per atom
* E above lowest polymorph: 0 meV per atom

***

A relaxed structure of NaPbI4, computed with PBE.

```
data_NaPbI4
_symmetry_space_group_name_H-M 'P 1'
_symmetry_Int_Tables_number 1
_cell_length_a 7.991
_cell_length_b 7.991
_cell_length_c 7.977
_cell_angle_alpha 113.05
_cell_angle_beta 113.05
_cell_angle_gamma 33.33
loop_
_symmetry_equiv_pos_as_xyz
'x,y,z'
loop_
_atom_site_label
_atom_site_fract_x
_atom_site_fract_y
_atom_site_fract_z
Na1 0.000 0.000 0.000
Pb1 0.500 0.500 0.500
I1 0.134 0.134 0.766
I2 0.374 0.374 0.719
I3 0.626 0.626 0.281
I4 0.866 0.866 0.234
```

Calculated values
* magnetic moment: 0.0 μB/cell
* formation energy (no corrections): -625.6 meV per atom
* DOS(E_F): 0.9813 states/eV per atom

***

A relaxed structure of NaPb2I, computed with PBE.

```
data_NaPb2I
_symmetry_space_group_name_H-M 'P 1'
_symmetry_Int_Tables_number 1
_cell_length_a 7.519
_cell_length_b 7.519
_cell_length_c 7.519
_cell_angle_alpha 100.27
_cell_angle_beta 100.27
_cell_angle_gamma 130.05
loop_
_symmetry_equiv_pos_as_xyz
'x,y,z'
loop_
_atom_site_label
_atom_site_fract_x
_atom_site_fract_y
_atom_site_fract_z
Na1 0.000 0.000 0.000
Na2 0.750 0.250 0.500
Pb1 0.142 0.125 0.517
Pb2 0.375 0.858 0.983
Pb3 0.608 0.625 0.483
Pb4 0.875 0.392 0.017
I1 0.250 0.750 0.500
I2 0.500 0.500 0.000
```

Calculated values
* magnetic moment: 0.0 μB/cell
* formation energy (no corrections): -10.9 meV per atom
* DOS(E_F): 0.7026 states/eV per atom
* E above lowest polymorph: 0 meV per atom

***

The highest DOS(E_F) belongs to which entry?
NaPbI4

***

Which value of DOS(E_F) does entry 2 give?
0.0000 states/eV per atom

***

formation energy (no corrections) of number 2 (Na2PbI4)?
-998.5 meV per atom

***

Among the records above, which one has the highest DOS(E_F)?
NaPbI4